1.
VASP calculation (PBE-GGA) on Pm5Sm6Pu after structural relaxation.

Unit cell a=5.1163 b=15.3547 c=10.2482 alpha=90.00 beta=90.07 gamma=90.00
Last column: nearest neighbours and their distance in Å.
Space group C2/m (No. 12)
Symmetry-distinct sites (fractional):
Pm: 0.0000 0.0000 0.0000 [2 per cell]  4 Pm 3.62, 8 Sm 3.63-3.65
Pm: 0.0000 0.3331 0.0000 [4 per cell]  4 Pm 3.61-3.62, 8 Sm 3.64-3.66
Pm: 0.0000 0.3363 0.5000 [4 per cell]  8 Sm 3.57-3.65, 2 Pu 3.59, 2 Pm 3.68
Sm: 0.0000 0.1649 0.2536 [8 per cell]  1 Pu 3.58, 7 Pm 3.59-3.66, 4 Sm 3.60-3.66
Sm: 0.9999 0.5000 0.2533 [4 per cell]  6 Pm 3.57-3.65, 2 Pu 3.60, 4 Sm 3.60
Pu: 0.0000 0.0000 0.5000 [2 per cell]  8 Sm 3.58-3.60, 4 Pm 3.59

Properties
- Energy relative to the elements: 0.049 eV per atom
- Density: 7719 kg/m3

2.
VASP calculation (PBE-GGA) on Ca2NbSi4Ir3 after structural relaxation.

Unit cell a=4.0940 b=4.0940 c=10.5902 alpha=90.00 beta=90.00 gamma=90.00
Last column: nearest neighbours and their distance in Å.
Space group P-4m2 (No. 115)
Symmetry-distinct sites (fractional):
Ca: 0.0000 0.5000 0.2444 [2 per cell]  8 Si 3.12-3.30, 6 Ir 3.17-3.39, 2 Nb 3.39
Nb: 0.0000 0.0000 0.5000 [1 per cell]  4 Si 2.57
Si: 0.0000 0.0000 0.0000 [1 per cell]  4 Ir 2.42
Si: 0.0000 0.5000 0.6467 [2 per cell]  3 Ir 2.46-2.57, 2 Nb 2.57
Si: 0.5000 0.5000 0.0000 [1 per cell]  4 Ir 2.42
Ir: 0.0000 0.5000 0.8786 [2 per cell]  5 Si 2.42-2.46
Ir: 0.5000 0.5000 0.5000 [1 per cell]  4 Si 2.57

Properties
- Density: 8065 kg/m3
- Formation energy (no corrections): -0.72 eV/atom

3.
VASP calculation (PBE-GGA) on Tl4In4Hg3 after structural relaxation.

Unit cell a=3.6594 b=3.8836 c=21.9935 alpha=86.28 beta=87.40 gamma=89.28
Last column: nearest neighbours and their distance in Å.
Space group P-1 (No. 2)
Symmetry-distinct sites (fractional):
Tl: 0.0580 0.0444 0.4084 [2 per cell]  4 Hg 3.26-3.45, 4 In 3.36-3.50
Tl: 0.3093 0.3203 0.8613 [2 per cell]  4 Hg 3.29-3.41, 4 In 3.34-3.45, 2 Tl 3.66
In: 0.2291 0.2270 0.0439 [2 per cell]  4 In 3.23-3.37, 4 Tl 3.34-3.45
In: 0.3948 0.4063 0.6891 [2 per cell]  4 Hg 3.14-3.29, 4 Tl 3.36-3.50
Hg: 0.1502 0.1345 0.2301 [2 per cell]  4 In 3.14-3.29, 4 Tl 3.29-3.41
Hg: 0.5000 0.5000 0.5000 [1 per cell]  8 Tl 3.26-3.45

Properties
- Energy relative to the elements: 0.007 eV per atom
- Density: 10012 kg/m3

4.
VASP calculation (PBE-GGA) on TbNdCoCu after structural relaxation.

Unit cell a=6.9415 b=6.9415 c=6.9415 alpha=90.00 beta=90.00 gamma=90.00
Last column: nearest neighbours and their distance in Å.
Space group F-43m (No. 216)
Symmetry-distinct sites (fractional):
Tb: 0.0000 0.0000 0.0000 [4 per cell]  4 Co 3.01, 4 Cu 3.01
Nd: 0.0000 0.0000 0.5000 [4 per cell]  4 Co 3.01, 4 Cu 3.01
Co: 0.2500 0.2500 0.7500 [4 per cell]  4 Tb 3.01, 4 Nd 3.01
Cu: 0.2500 0.2500 0.2500 [4 per cell]  4 Tb 3.01, 4 Nd 3.01

Properties
- Energy relative to the elements: -0.101 eV per atom
- Density: 8453 kg/m3

5.
VASP calculation (PBE-GGA) on Ta2InNi after structural relaxation.

Unit cell a=3.8359 b=3.8359 c=20.2101 alpha=90.00 beta=90.00 gamma=90.00
Last column: nearest neighbours and their distance in Å.
Space group I-42d (No. 122)
Symmetry-distinct sites (fractional):
Ta: 0.2479 0.2500 0.1250 [8 per cell]  4 Ta 2.70-2.72, 2 Ni 2.86, 2 In 2.87
In: 0.0000 0.0000 0.5000 [4 per cell]  4 Ni 2.71, 4 Ta 2.87
Ni: 0.0000 0.0000 0.0000 [4 per cell]  4 In 2.71, 4 Ta 2.86

Properties
- Energy relative to the elements: 0.594 eV per atom
- Density: 11959 kg/m3

6.
VASP calculation (PBE-GGA) on Ho4ThTl after structural relaxation.

Unit cell a=5.2305 b=5.2305 c=7.7191 alpha=90.00 beta=90.00 gamma=90.00
Last column: nearest neighbours and their distance in Å.
Space group P4/mmm (No. 123)
Symmetry-distinct sites (fractional):
Ho: 0.0000 0.5000 0.2393 [4 per cell]  2 Tl 3.20, 2 Th 3.30
Th: 0.0000 0.0000 0.5000 [1 per cell]  8 Ho 3.30
Tl: 0.5000 0.5000 0.0000 [1 per cell]  8 Ho 3.20

Properties
- Energy relative to the elements: 0.426 eV per atom
- Density: 8619 kg/m3

7.
VASP calculation (PBE-GGA) on Dy4Ag after structural relaxation.

Unit cell a=11.9790 b=15.2691 c=6.2571 alpha=90.00 beta=90.00 gamma=90.00
Last column: nearest neighbours and their distance in Å.
Space group Fdd2 (No. 43)
Symmetry-distinct sites (fractional):
Dy: 0.0618 0.3046 0.0000 [16 per cell]  2 Ag 3.07-3.09, 4 Dy 3.31-3.41
Dy: 0.0629 0.3959 0.5207 [16 per cell]  2 Ag 3.19-3.35, 9 Dy 3.31-3.54
Ag: 0.0000 0.0000 0.4458 [8 per cell]  8 Dy 3.07-3.35

Properties
- Energy relative to the elements: -0.004 eV per atom
- Density: 8797 kg/m3

8.
VASP calculation (PBE-GGA) on AlMo2P2 after structural relaxation.

Unit cell a=6.8289 b=6.8289 c=3.0838 alpha=90.00 beta=90.00 gamma=90.00
Last column: nearest neighbours and their distance in Å.
Space group P4/mbm (No. 127)
Symmetry-distinct sites (fractional):
Al: 0.0000 0.0000 0.0000 [2 per cell]  4 P 2.64
Mo: 0.1555 0.3445 0.5000 [4 per cell]  6 P 2.50-2.54
P: 0.1406 0.6405 0.0000 [4 per cell]  6 Mo 2.50-2.54, 2 Al 2.64, 1 P 2.71

Properties
- Energy relative to the elements: -0.204 eV per atom
- Density: 6485 kg/m3

9.
VASP calculation (PBE-GGA) on UAgPb2S6 after structural relaxation.

Unit cell a=6.7770 b=7.0444 c=7.1966 alpha=117.98 beta=117.34 gamma=90.09
Last column: nearest neighbours and their distance in Å.
Space group P1 (No. 1)
Symmetry-distinct sites (fractional):
U: 0.0000 0.0000 0.0000 [1 per cell]  6 S 2.52-2.58
Ag: 0.4770 0.4748 0.9636 [1 per cell]  5 S 2.55-2.80
Pb: 0.2094 0.6201 0.4191 [1 per cell]  6 S 2.89-3.11
Pb: 0.7077 0.1011 0.4121 [1 per cell]  6 S 2.87-3.10
S: 0.1355 0.2415 0.4619 [1 per cell]  1 U 2.58, 1 Ag 2.80, 2 Pb 2.87-2.89
S: 0.2374 0.7402 0.0869 [1 per cell]  1 U 2.55, 1 Ag 2.59
S: 0.3587 0.2596 0.1160 [1 per cell]  1 Ag 2.55, 1 U 2.58
S: 0.6447 0.7866 0.9333 [1 per cell]  1 U 2.56, 1 Ag 2.61
S: 0.7950 0.2918 0.9360 [1 per cell]  1 Ag 2.55, 1 U 2.58
S: 0.8682 0.7816 0.5486 [1 per cell]  1 U 2.52

Properties
- Density: 6108 kg/m3
- Formation energy (no corrections): -0.59 eV/atom

10.
VASP calculation (PBE-GGA) on Tl8Au3O2 after structural relaxation.

Unit cell a=14.3913 b=7.8829 c=6.3504 alpha=90.00 beta=97.64 gamma=90.00
Last column: nearest neighbours and their distance in Å.
Space group C2/m (No. 12)
Symmetry-distinct sites (fractional):
Tl: 0.1134 0.0000 0.2213 [4 per cell]  1 O 2.39
Tl: 0.1426 0.2600 0.7031 [8 per cell]  1 O 2.38
Tl: 0.1687 0.5000 0.1986 [4 per cell]  1 O 2.47
Au: 0.0000 0.2997 0.0000 [4 per cell]  6 Tl 2.98-3.10, 1 Au 3.16
Au: 0.0000 0.5000 0.5000 [2 per cell]  6 Tl 2.96-3.29
O: 0.2279 0.5000 0.8508 [4 per cell]  4 Tl 2.38-2.47

Properties
- Density: 10502 kg/m3
- Formation energy (no corrections): -0.22 eV/atom

11.
VASP calculation (PBE-GGA) on DyTh6C5 after structural relaxation.

Unit cell a=6.8289 b=6.8289 c=12.9705 alpha=90.00 beta=90.00 gamma=120.00
Last column: nearest neighbours and their distance in Å.
Space group P6_3/mcm (No. 193)
Symmetry-distinct sites (fractional):
Dy: 0.0000 0.0000 0.2500 [2 per cell]  3 C 2.37
Th: 0.0000 0.3896 0.1174 [12 per cell]  3 C 2.49-2.60
C: 0.0000 0.3476 0.7500 [6 per cell]  1 Dy 2.37, 2 Th 2.49
C: 0.3333 0.6667 0.0000 [4 per cell]  6 Th 2.60

Properties
- Energy relative to the elements: 0.058 eV per atom
- Density: 10238 kg/m3

12.
VASP calculation (PBE-GGA) on PuAg3Cl9 after structural relaxation.

Unit cell a=18.6617 b=8.6336 c=15.1007 alpha=90.00 beta=128.12 gamma=90.00
Last column: nearest neighbours and their distance in Å.
Space group Cc (No. 9)
Symmetry-distinct sites (fractional):
Pu: 0.0000 0.0153 0.0000 [4 per cell]  6 Cl 2.48-2.60
Ag: 0.0037 0.3870 0.7536 [4 per cell]  2 Cl 2.39-2.40
Ag: 0.2839 0.4670 0.4543 [4 per cell]  3 Cl 2.42-2.50
Ag: 0.3011 0.1936 0.6647 [4 per cell]  3 Cl 2.40-2.67
Cl: 0.0329 0.2269 0.1317 [4 per cell]  1 Pu 2.48
Cl: 0.0640 0.1747 0.9224 [4 per cell]  1 Pu 2.53, 1 Ag 2.75
Cl: 0.1433 0.4172 0.7812 [4 per cell]  2 Ag 2.39-2.50
Cl: 0.1569 0.1008 0.6482 [4 per cell]  1 Pu 2.55, 1 Ag 2.67
Cl: 0.2422 0.4422 0.5769 [4 per cell]  2 Ag 2.40-2.42
Cl: 0.3394 0.3670 0.3523 [4 per cell]  1 Ag 2.48, 1 Pu 2.60
Cl: 0.3535 0.0714 0.1964 [4 per cell]  2 Ag 2.40-2.42
Cl: 0.4363 0.3533 0.0825 [4 per cell]  1 Pu 2.60, 1 Ag 2.73
Cl: 0.4606 0.2964 0.8633 [4 per cell]  1 Pu 2.55, 1 Ag 2.76

Properties
- Density: 3077 kg/m3
- Formation energy (no corrections): -0.83 eV/atom

13.
VASP calculation (PBE-GGA) on YNp2Tl3S6 after structural relaxation.

Unit cell a=7.0189 b=12.1546 c=7.8808 alpha=90.00 beta=107.25 gamma=90.00
Last column: nearest neighbours and their distance in Å.
Space group C2/m (No. 12)
Symmetry-distinct sites (fractional):
Y: 0.0000 0.0000 0.0000 [2 per cell]  6 S 2.77
Np: 0.0000 0.3333 0.0000 [4 per cell]  6 S 2.76
Tl: 0.0000 0.1673 0.5000 [4 per cell]  6 S 3.27-3.28
Tl: 0.0000 0.5000 0.5000 [2 per cell]  6 S 3.27-3.28
S: 0.2302 0.5000 0.1952 [4 per cell]  2 Np 2.76, 1 Y 2.77
S: 0.2324 0.1674 0.1951 [8 per cell]  2 Np 2.76, 1 Y 2.77

Properties
- Density: 7078 kg/m3
- Formation energy (no corrections): -1.17 eV/atom

14.
VASP calculation (PBE-GGA) on KTl2CdHg4 after structural relaxation.

Unit cell a=5.1509 b=5.1509 c=31.9192 alpha=90.00 beta=90.00 gamma=120.00
Last column: nearest neighbours and their distance in Å.
Space group R-3m (No. 166, hexagonal axes)
Symmetry-distinct sites (fractional):
K: 0.0000 0.0000 0.0000 [3 per cell]  6 Hg 3.53
Tl: 0.0000 0.0000 0.2401 [6 per cell]  7 Hg 3.16-3.39
Cd: 0.0000 0.0000 0.5000 [3 per cell]  8 Hg 3.15-3.42
Hg: 0.0000 0.0000 0.1338 [6 per cell]  3 Cd 3.15, 4 Tl 3.24-3.39
Hg: 0.0000 0.0000 0.3930 [6 per cell]  3 Tl 3.16, 1 Cd 3.42, 3 K 3.53

Properties
- Energy relative to the elements: -0.092 eV per atom
- Density: 9256 kg/m3

15.
VASP calculation (PBE-GGA) on MgSiBr2 after structural relaxation.

Unit cell a=3.2882 b=3.2882 c=12.2035 alpha=90.00 beta=90.00 gamma=90.00
Last column: nearest neighbours and their distance in Å.
Space group P4/mmm (No. 123)
Symmetry-distinct sites (fractional):
Mg: 0.0000 0.0000 0.0000 [1 per cell]  8 Br 2.85
Si: 0.0000 0.0000 0.5000 [1 per cell]  4 Si 3.29
Br: 0.5000 0.5000 0.1350 [2 per cell]  4 Mg 2.85

Properties
- Density: 2671 kg/m3
- Formation energy (no corrections): -0.09 eV/atom

16.
VASP calculation (PBE-GGA) on Ba2PuCuO5 after structural relaxation.

Unit cell a=3.5528 b=15.3573 c=11.1276 alpha=90.00 beta=90.00 gamma=90.00
Last column: nearest neighbours and their distance in Å.
Space group Cmc2_1 (No. 36)
Symmetry-distinct sites (fractional):
Ba: 0.0000 0.1078 0.0000 [4 per cell]  5 O 2.65-2.85
Ba: 0.0000 0.1236 0.6245 [4 per cell]  5 O 2.62-2.85
Pu: 0.0000 0.2032 0.3242 [4 per cell]  6 O 2.06-2.27
Cu: 0.0000 0.4528 0.7575 [4 per cell]  3 O 1.94-2.01
O: 0.0000 0.0661 0.3387 [4 per cell]  2 Cu 2.01, 1 Pu 2.11
O: 0.0000 0.2887 0.9502 [4 per cell]  2 Pu 2.27
O: 0.0000 0.3013 0.6968 [4 per cell]  2 Pu 2.27, 1 Cu 2.42
O: 0.0000 0.3368 0.3153 [4 per cell]  1 Pu 2.06
O: 0.0000 0.5004 0.0960 [4 per cell]  1 Cu 1.94

Properties
- Density: 7245 kg/m3
- Formation energy (no corrections): -2.33 eV/atom

17.
VASP calculation (PBE-GGA) on TaSb2W after structural relaxation.

Unit cell a=3.5330 b=4.7599 c=9.5169 alpha=90.00 beta=90.00 gamma=90.00
Last column: nearest neighbours and their distance in Å.
Space group Imm2 (No. 44)
Symmetry-distinct sites (fractional):
Ta: 0.0000 0.0000 0.0000 [2 per cell]  2 W 2.78, 6 Sb 2.98-3.00
Sb: 0.0000 0.0000 0.5335 [2 per cell]  2 W 2.89, 4 Ta 2.98, 4 Sb 3.17-3.19
Sb: 0.0000 0.5000 0.7541 [2 per cell]  4 W 2.97, 2 Ta 3.00, 4 Sb 3.17-3.19
W: 0.0000 0.5000 0.2742 [2 per cell]  2 Ta 2.78, 6 Sb 2.89-2.97

Properties
- Density: 12623 kg/m3
- Formation energy (no corrections): 0.51 eV/atom

18.
VASP calculation (PBE-GGA) on Ca2ReMo after structural relaxation.

Unit cell a=3.5778 b=5.3507 c=9.9754 alpha=90.00 beta=90.00 gamma=90.00
Last column: nearest neighbours and their distance in Å.
Space group Imm2 (No. 44)
Symmetry-distinct sites (fractional):
Ca: 0.0000 0.0000 0.0000 [2 per cell]  4 Re 3.27, 4 Mo 3.36-3.43, 6 Ca 3.38-3.58
Ca: 0.0000 0.5000 0.2123 [2 per cell]  4 Re 3.23-3.53, 4 Mo 3.30, 6 Ca 3.38-3.58
Re: 0.0000 0.0000 0.4424 [2 per cell]  2 Mo 2.38
Mo: 0.0000 0.5000 0.7846 [2 per cell]  2 Re 2.38

Properties
- Energy relative to the elements: 0.476 eV per atom
- Density: 6301 kg/m3

19.
VASP calculation (PBE-GGA) on Sc6Cd5Hg after structural relaxation.

Unit cell a=4.9939 b=7.0542 c=7.9083 alpha=90.00 beta=108.14 gamma=90.00
Last column: nearest neighbours and their distance in Å.
Space group P2/m (No. 10)
Symmetry-distinct sites (fractional):
Sc: 0.0000 0.2474 0.0000 [2 per cell]  2 Hg 3.05, 6 Cd 3.07-3.10
Sc: 0.3347 0.2500 0.6694 [4 per cell]  7 Cd 3.03-3.07, 1 Hg 3.05
Cd: 0.1674 0.5000 0.3348 [2 per cell]  8 Sc 3.06-3.08
Cd: 0.1710 0.0000 0.3415 [2 per cell]  8 Sc 3.03-3.10
Cd: 0.5000 0.5000 0.0000 [1 per cell]  8 Sc 3.05-3.07
Hg: 0.5000 0.0000 0.0000 [1 per cell]  8 Sc 3.05

Properties
- Energy relative to the elements: -0.317 eV per atom
- Density: 6475 kg/m3

20.
VASP calculation (PBE-GGA) on LaSmHo2Tm2 after structural relaxation.

Unit cell a=6.5359 b=17.9223 c=3.3867 alpha=90.00 beta=90.00 gamma=90.00
Last column: nearest neighbours and their distance in Å.
Space group Pnnm (No. 58)
Symmetry-distinct sites (fractional):
La: 0.0000 0.0000 0.0000 [2 per cell]  2 Tm 3.25, 2 La 3.39
Sm: 0.0000 0.5000 0.0000 [2 per cell]  2 Sm 3.39, 4 Tm 3.46, 4 La 3.68
Ho: 0.2183 0.1885 0.0000 [4 per cell]  4 Tm 3.33-3.37, 2 Ho 3.39, 1 La 3.67
Tm: 0.2163 0.3513 0.5000 [4 per cell]  1 La 3.25, 4 Ho 3.33-3.37, 2 Tm 3.39, 2 Sm 3.46

Properties
- Energy relative to the elements: 0.281 eV per atom
- Density: 8012 kg/m3

21.
VASP calculation (PBE-GGA) on TlCuHg2Pb after structural relaxation.

Unit cell a=5.0768 b=5.0768 c=5.3674 alpha=90.00 beta=90.00 gamma=90.00
Last column: nearest neighbours and their distance in Å.
Space group P4/mmm (No. 123)
Symmetry-distinct sites (fractional):
Tl: 0.0000 0.0000 0.0000 [1 per cell]  2 Cu 2.68
Cu: 0.0000 0.0000 0.5000 [1 per cell]  4 Hg 2.54, 2 Tl 2.68
Hg: 0.0000 0.5000 0.5000 [2 per cell]  2 Cu 2.54
Pb: 0.5000 0.5000 0.0000 [1 per cell]  4 Tl 3.59, 8 Hg 3.69

Properties
- Energy relative to the elements: 0.212 eV per atom
- Density: 10519 kg/m3

22.
VASP calculation (PBE-GGA) on NbTc3Cl after structural relaxation.

Unit cell a=4.3420 b=4.3420 c=4.3420 alpha=90.00 beta=90.00 gamma=90.00
Last column: nearest neighbours and their distance in Å.
Space group Pm-3m (No. 221)
Symmetry-distinct sites (fractional):
Nb: 0.0000 0.0000 0.0000 [1 per cell]  12 Tc 3.07
Tc: 0.0000 0.5000 0.5000 [3 per cell]  2 Cl 2.17
Cl: 0.5000 0.5000 0.5000 [1 per cell]  6 Tc 2.17

Properties
- Density: 8568 kg/m3
- Formation energy (no corrections): 0.93 eV/atom